[1]
This record from Alexandria via LeMat-Bulk describes an optimized crystal structure of Tb2YNi. The functional is PBE.

Output
formation enthalpy at 0 K: -0.24 eV/atom
excess energy over the best structure of this formula in the dataset: 0 meV per atom

Cell: 6.8830 9.6657 6.3180 Å, 90.00 90.00 90.00°
With the nearest neighbours (Å) after each atom.
Space group Pnma (No. 62)
Asymmetric unit:
Tb1 0.1793 0.0664 0.1768 [8 per cell]  2 Ni 2.76-2.83
Y1 0.0332 0.2500 0.6408 [4 per cell]  2 Ni 2.77-2.83
Ni1 0.1091 0.7500 0.9397 [4 per cell]  4 Tb 2.76-2.83, 2 Y 2.77-2.83

***

[2]
This record from Alexandria via LeMat-Bulk describes an optimized crystal structure of Pr6ZnNi2Br3. The functional is PBE.

Output
formation energy from raw total energies: -0.7406 eV per atom

Cell: 7.2636 12.4380 8.0260 Å, 90.00 107.50 90.00°
With the nearest neighbours (Å) after each atom.
Space group C2/m (No. 12)
Asymmetric unit:
Pr1 0.2112 0.0000 0.2021 [4 per cell]  2 Ni 2.82, 1 Zn 3.01
Pr2 0.2496 0.1772 0.7889 [8 per cell]  2 Ni 2.81-2.83, 1 Zn 3.03
Zn1 0.0000 0.5000 0.0000 [2 per cell]  6 Pr 3.01-3.03
Ni1 0.0000 0.1703 0.0000 [4 per cell]  6 Pr 2.81-2.83
Br1 0.0000 0.0000 0.5000 [2 per cell]  6 Pr 3.21-3.32
Br2 0.0000 0.3405 0.5000 [4 per cell]  6 Pr 3.20-3.36

***

[3]
This record from Alexandria via LeMat-Bulk describes an optimized crystal structure of TcSb. The functional is PBE.

Output
formation energy from raw total energies: 0.1226 eV per atom
excess energy over the best structure of this formula in the dataset: 63 meV per atom

Cell: 3.2636 3.2636 3.2636 Å, 90.00 90.00 90.00°
With the nearest neighbours (Å) after each atom.
Space group Pm-3m (No. 221)
Asymmetric unit:
Tc1 0.0000 0.0000 0.0000 [1 per cell]  8 Sb 2.83
Sb1 0.5000 0.5000 0.5000 [1 per cell]  8 Tc 2.83

***

no.,calculated total energy (eV per atom),M_tot (μB per atom)
1,-5.62,0.000
2,-4.62,0.000
3,-7.12,0.000